# 1
The following is a DFT calculation (meta-GGA SCAN) of a crystal of K3AgHg relaxed with PBEsol.

E_form, eV per atom: 0.095

Lattice parameters (Å, degrees): 6.282 6.282 6.282 90.00 90.00 90.00
Fractional coordinates of all 5 atoms:
K1 0.000 0.500 0.000
K2 0.000 0.000 0.500
K3 0.500 0.000 0.000
Hg1 0.500 0.500 0.500
Ag1 0.000 0.000 0.000


# 2
The following is a DFT calculation (meta-GGA SCAN) of a crystal of CsLiNb2Cr relaxed with PBEsol.

E_form, eV per atom: 1.382

Lattice parameters (Å, degrees): 4.583 4.583 6.540 90.00 90.00 90.00
Last column: magnetic moment on the atom in μB.
Fractional coordinates of all 5 atoms:
Cs1 0.000 0.000 0.500  0.02
Cr1 0.000 0.000 0.000  -1.61
Nb1 0.000 0.500 0.000  0.86
Nb2 0.500 0.000 0.000  0.86
Li1 0.500 0.500 0.500  0.00


# 3
The following is a DFT calculation (meta-GGA SCAN) of a crystal of Y2FeAu relaxed with PBEsol.

E_form, eV per atom: -0.457

Lattice parameters (Å, degrees): 3.464 4.880 4.880 90.00 90.00 90.00
Last column: magnetic moment on the atom in μB.
Fractional coordinates of all 4 atoms:
Au1 0.500 0.000 0.000  0.01
Fe1 0.500 0.500 0.500  2.41
Y1 0.000 0.000 0.500  -0.28
Y2 0.000 0.500 0.000  -0.28


# 4
The following is a DFT calculation (meta-GGA SCAN) of a crystal of NaBC4O8 relaxed with PBEsol.

ΔE_f (raw), eV per atom: -1.526

Lattice parameters (Å, degrees): 6.559 6.559 7.812 90.00 90.00 104.28
Fractional coordinates of all 28 atoms:
Na1 0.069 0.931 0.750
Na2 0.931 0.069 0.250
B1 0.432 0.568 0.250
B2 0.568 0.432 0.750
C1 0.224 0.776 0.348
C2 0.224 0.776 0.152
C3 0.776 0.224 0.652
C4 0.545 0.265 0.250
C5 0.776 0.224 0.848
C6 0.735 0.455 0.250
C7 0.455 0.735 0.750
C8 0.265 0.545 0.750
O1 0.128 0.872 0.063
O2 0.335 0.372 0.750
O3 0.654 0.346 0.901
O4 0.128 0.872 0.437
O5 0.872 0.128 0.563
O6 0.665 0.628 0.250
O7 0.346 0.654 0.099
O8 0.917 0.444 0.250
O9 0.872 0.128 0.937
O10 0.083 0.556 0.750
O11 0.372 0.335 0.250
O12 0.654 0.346 0.599
O13 0.556 0.083 0.250
O14 0.628 0.665 0.750
O15 0.444 0.917 0.750
O16 0.346 0.654 0.401


# 5
The following is a DFT calculation (meta-GGA SCAN) of a crystal of MgW2Cl relaxed with PBEsol.

ΔE_f (raw), eV per atom: 0.722
Energy above the most stable polymorph in this dataset, eV/atom: 0.5661

Lattice parameters (Å, degrees): 3.002 4.347 5.947 111.31 104.45 90.46
Fractional coordinates of all 4 atoms:
Cl1 0.500 0.000 0.000
Mg1 0.000 0.500 0.000
W1 0.000 0.000 0.500
W2 0.500 0.500 0.500


# 6
The following is a DFT calculation (meta-GGA SCAN) of a crystal of AgRuSe2 relaxed with PBEsol.

ΔE_f (raw), eV per atom: 0.396
Energy above the most stable polymorph in this dataset, eV/atom: 0.1641

Lattice parameters (Å, degrees): 2.931 2.869 9.877 90.00 90.00 120.72
Fractional coordinates of all 4 atoms:
Ag1 0.500 0.000 0.500
Ru1 0.500 0.000 0.000
Se1 0.000 0.000 0.794
Se2 0.000 0.000 0.206


# 7
The following is a DFT calculation (meta-GGA SCAN) of a crystal of Bi2PbBr relaxed with PBEsol.

ΔE_f (raw), eV per atom: 0.064

Lattice parameters (Å, degrees): 5.414 5.414 5.414 60.00 60.00 60.00
Fractional coordinates of all 4 atoms:
Pb1 0.500 0.500 0.500
Bi1 0.250 0.250 0.250
Bi2 0.750 0.750 0.750
Br1 0.000 0.000 0.000


# 8
The following is a DFT calculation (meta-GGA SCAN) of a crystal of ScGaOs2W relaxed with PBEsol.

E_form, eV per atom: 2.348

Lattice parameters (Å, degrees): 4.521 4.521 4.558 90.00 90.00 90.00
Last column: magnetic moment on the atom in μB.
Fractional coordinates of all 5 atoms:
Sc1 0.000 0.000 0.000  0.03
Os1 0.000 0.500 0.000  -0.29
Os2 0.500 0.000 0.000  -0.29
Ga1 0.000 0.000 0.500  0.01
W1 0.500 0.500 0.500  1.61


# 9
The following is a DFT calculation (meta-GGA SCAN) of a crystal of RbPd3Ru relaxed with PBEsol.

E_form, eV per atom: 0.825

Lattice parameters (Å, degrees): 4.838 4.838 4.838 90.00 90.00 90.00
Last column: magnetic moment on the atom in μB.
Fractional coordinates of all 5 atoms:
Ru1 0.000 0.000 0.000  1.49
Rb1 0.500 0.500 0.500  -0.01
Pd1 0.000 0.500 0.000  0.29
Pd2 0.000 0.000 0.500  0.29
Pd3 0.500 0.000 0.000  0.29


# 10
The following is a DFT calculation (meta-GGA SCAN) of a crystal of CrBSb3 relaxed with PBEsol.

ΔE_f (raw), eV per atom: 1.261

Lattice parameters (Å, degrees): 4.901 4.901 4.901 90.00 90.00 90.00
Last column: magnetic moment on the atom in μB.
Fractional coordinates of all 5 atoms:
Sb1 0.000 0.500 0.000  -0.06
Sb2 0.000 0.000 0.500  -0.06
Sb3 0.500 0.000 0.000  -0.06
B1 0.500 0.500 0.500  0.27
Cr1 0.000 0.000 0.000  1.69


# 11
The following is a DFT calculation (meta-GGA SCAN) of a crystal of Co2IrSe relaxed with PBEsol.

ΔE_f (raw), eV per atom: 0.375

Lattice parameters (Å, degrees): 2.867 4.190 4.359 90.00 90.00 90.00
Last column: magnetic moment on the atom in μB.
Fractional coordinates of all 4 atoms:
Ir1 0.500 0.500 0.000  0.49
Co1 0.000 0.000 0.000  1.98
Co2 0.500 0.000 0.500  1.80
Se1 0.000 0.500 0.500  0.11


# 12
The following is a DFT calculation (meta-GGA SCAN) of a crystal of TiH2Ru relaxed with PBEsol.

Total DFT energy (no corrections), eV/atom: -14.26

Lattice parameters (Å, degrees): 3.641 3.641 3.641 60.00 60.00 60.00
Fractional coordinates of all 4 atoms:
Ru1 0.500 0.500 0.500
H1 0.250 0.250 0.250
H2 0.750 0.750 0.750
Ti1 0.000 0.000 0.000